# 1
# PBE Ni3As2Pd, optimized geometry
data_Ni3As2Pd
_chemical_formula_sum 'Ni18 As12 Pd6'
_cell_length_a 15.9463
_cell_length_b 3.6261
_cell_length_c 8.8924
_cell_angle_alpha 90.00
_cell_angle_beta 104.67
_cell_angle_gamma 90.00
_space_group_name_H-M_alt 'C 1 2/m 1'
_space_group_IT_number 12
loop_
_space_group_symop_operation_xyz
'x,y,z'
'-x,-y,-z'
'-x,y,-z'
'x,-y,z'
'x+1/2,y+1/2,z'
'-x+1/2,-y+1/2,-z'
'-x+1/2,y+1/2,-z'
'x+1/2,-y+1/2,z'
loop_
_atom_site_label
_atom_site_fract_x
_atom_site_fract_y
_atom_site_fract_z
Ni1 0.0000 0.0000 0.0000
Ni2 0.0408 0.5000 0.8337
Ni3 0.1100 0.0000 0.6923
Ni4 0.1853 0.0000 0.4477
Ni5 0.2169 0.5000 0.8871
As1 0.0449 0.0000 0.2935
As2 0.1400 0.0000 0.9692
As3 0.1825 0.5000 0.6174
Pd1 0.0000 0.5000 0.5000
Pd2 0.1522 0.5000 0.1879
# VASP energy, eV per atom: -5.52
# Density of states at the Fermi level, states/eV per cell: 19.0

# 2
# PBE MgBiSN2, optimized geometry
data_MgBiSN2
_chemical_formula_sum 'Mg1 Bi1 S1 N2'
_cell_length_a 4.2369
_cell_length_b 4.2369
_cell_length_c 5.5855
_cell_angle_alpha 90.00
_cell_angle_beta 90.00
_cell_angle_gamma 90.00
_space_group_name_H-M_alt 'P 4/m m m'
_space_group_IT_number 123
_space_group_name_Hall '-P 4 2'
loop_
_atom_site_label
_atom_site_fract_x
_atom_site_fract_y
_atom_site_fract_z
Mg1 0.0000 0.0000 0.0000
Bi1 0.5000 0.5000 0.5000
S1 0.5000 0.5000 0.0000
N1 0.0000 0.5000 0.5000
# E_form (uncorrected), eV/atom: 1.13
# Density of states at the Fermi level, states/eV per cell: 2.4

# 3
# PBE Pm5U3Bi12, optimized geometry
data_Pm5U3Bi12
_chemical_formula_sum 'Pm40 U24 Bi96'
_cell_length_a 18.5009
_cell_length_b 18.5009
_cell_length_c 18.5009
_cell_angle_alpha 90.00
_cell_angle_beta 90.00
_cell_angle_gamma 90.00
_space_group_name_H-M_alt 'I a -3 d'
_space_group_IT_number 230
_space_group_name_Hall '-I 4bd 2c 3'
loop_
_atom_site_label
_atom_site_fract_x
_atom_site_fract_y
_atom_site_fract_z
Pm1 0.0000 0.0000 0.0000
Pm2 0.0000 0.2500 0.3750
U1 0.0000 0.2500 0.1250
Bi1 0.0171 0.0845 0.6552
# VASP energy, eV per atom: -5.17
# Density of states at the Fermi level, states/eV per cell: 211.2

# 4
# PBE Mn2FeRe, optimized geometry
data_Mn2FeRe
_chemical_formula_sum 'Mn6 Fe3 Re3'
_cell_length_a 2.6069
_cell_length_b 2.6069
_cell_length_c 24.9045
_cell_angle_alpha 90.00
_cell_angle_beta 90.00
_cell_angle_gamma 120.00
_space_group_name_H-M_alt 'R -3 m'
_space_group_IT_number 166
_space_group_name_Hall '-R 3 2"'
loop_
_atom_site_label
_atom_site_fract_x
_atom_site_fract_y
_atom_site_fract_z
Mn1 0.0000 0.0000 0.2462
Fe1 0.0000 0.0000 0.5000
Re1 0.0000 0.0000 0.0000
# VASP energy, eV per atom: -9.61
# Density of states at the Fermi level, states/eV per cell: 13.7

# 5
# PBE LaTa2Tl, optimized geometry
data_LaTa2Tl
_chemical_formula_sum 'La2 Ta4 Tl2'
_cell_length_a 4.4019
_cell_length_b 4.4019
_cell_length_c 9.6061
_cell_angle_alpha 90.00
_cell_angle_beta 90.00
_cell_angle_gamma 90.00
_space_group_name_H-M_alt 'I 4/m m m'
_space_group_IT_number 139
_space_group_name_Hall '-I 4 2'
loop_
_atom_site_label
_atom_site_fract_x
_atom_site_fract_y
_atom_site_fract_z
La1 0.0000 0.0000 0.0000
Ta1 0.0000 0.5000 0.2500
Tl1 0.0000 0.0000 0.5000
# VASP energy, eV per atom: -7.12
# Density of states at the Fermi level, states/eV per cell: 7.0

# 6
# PBE Ce2GdAg, optimized geometry
data_Ce2GdAg
_chemical_formula_sum 'Ce6 Gd3 Ag3'
_cell_length_a 3.1974
_cell_length_b 3.1974
_cell_length_c 35.0970
_cell_angle_alpha 90.00
_cell_angle_beta 90.00
_cell_angle_gamma 120.00
_space_group_name_H-M_alt 'R -3 m'
_space_group_IT_number 166
_space_group_name_Hall '-R 3 2"'
loop_
_atom_site_label
_atom_site_fract_x
_atom_site_fract_y
_atom_site_fract_z
Ce1 0.0000 0.0000 0.0900
Gd1 0.0000 0.0000 0.0000
Ag1 0.0000 0.0000 0.5000
# VASP energy, eV per atom: -7.00
# Density of states at the Fermi level, states/eV per cell: 27.2

# 7
# PBE Sc2HgBr2, optimized geometry
data_Sc2HgBr2
_chemical_formula_sum 'Sc4 Hg2 Br4'
_cell_length_a 4.5486
_cell_length_b 4.5486
_cell_length_c 12.5500
_cell_angle_alpha 90.00
_cell_angle_beta 90.00
_cell_angle_gamma 90.00
_space_group_name_H-M_alt 'I 4/m m m'
_space_group_IT_number 139
_space_group_name_Hall '-I 4 2'
loop_
_atom_site_label
_atom_site_fract_x
_atom_site_fract_y
_atom_site_fract_z
Sc1 0.0000 0.0000 0.1144
Hg1 0.0000 0.0000 0.5000
Br1 0.0000 0.5000 0.2500
# E_form (uncorrected), eV/atom: -0.61
# Density of states at the Fermi level, states/eV per cell: 8.1

# 8
# PBE Cs2RbPb, optimized geometry
data_Cs2RbPb
_chemical_formula_sum 'Cs8 Rb4 Pb4'
_cell_length_a 12.8972
_cell_length_b 9.0526
_cell_length_c 11.5016
_cell_angle_alpha 90.00
_cell_angle_beta 116.41
_cell_angle_gamma 90.00
_space_group_name_H-M_alt 'P 1 21/c 1'
_space_group_IT_number 14
loop_
_space_group_symop_operation_xyz
'x,y,z'
'-x,-y,-z'
'-x,y+1/2,-z+1/2'
'x,-y+1/2,z+1/2'
loop_
_atom_site_label
_atom_site_fract_x
_atom_site_fract_y
_atom_site_fract_z
Cs1 0.1731 0.2490 0.0868
Cs2 0.2144 0.7010 0.8585
Rb1 0.4993 0.9997 0.8110
Pb1 0.4304 0.1436 0.4653
# VASP energy, eV per atom: -1.65
# Density of states at the Fermi level, states/eV per cell: 17.7

Question: density of states at the Fermi level of number 8 (Cs2RbPb)?
Answer: 17.7 states/eV per cell

Question: Which formula does entry 2 have?
Answer: MgBiSN2

Question: What is the density of states at the Fermi level in the eighth record?
Answer: 17.7 states/eV per cell

Copy entry 1 word for word.
# PBE Ni3As2Pd, optimized geometry
data_Ni3As2Pd
_chemical_formula_sum 'Ni18 As12 Pd6'
_cell_length_a 15.9463
_cell_length_b 3.6261
_cell_length_c 8.8924
_cell_angle_alpha 90.00
_cell_angle_beta 104.67
_cell_angle_gamma 90.00
_space_group_name_H-M_alt 'C 1 2/m 1'
_space_group_IT_number 12
loop_
_space_group_symop_operation_xyz
'x,y,z'
'-x,-y,-z'
'-x,y,-z'
'x,-y,z'
'x+1/2,y+1/2,z'
'-x+1/2,-y+1/2,-z'
'-x+1/2,y+1/2,-z'
'x+1/2,-y+1/2,z'
loop_
_atom_site_label
_atom_site_fract_x
_atom_site_fract_y
_atom_site_fract_z
Ni1 0.0000 0.0000 0.0000
Ni2 0.0408 0.5000 0.8337
Ni3 0.1100 0.0000 0.6923
Ni4 0.1853 0.0000 0.4477
Ni5 0.2169 0.5000 0.8871
As1 0.0449 0.0000 0.2935
As2 0.1400 0.0000 0.9692
As3 0.1825 0.5000 0.6174
Pd1 0.0000 0.5000 0.5000
Pd2 0.1522 0.5000 0.1879
# VASP energy, eV per atom: -5.52
# Density of states at the Fermi level, states/eV per cell: 19.0